(1)
# Li2Mg2SiNi2Ge

A relaxed Li2Mg2SiNi2Ge crystal (PBE, OQMD).

a = 4.214 Å, b = 4.214 Å, c = 5.963 Å
α = 90.00°, β = 90.00°, γ = 90.00°
Positions (direct):
Li 0.000 0.500 0.247
Li 0.500 0.000 0.753
Mg 0.000 0.000 0.000
Mg 0.500 0.500 0.500
Si 0.500 0.500 0.000
Ni 0.000 0.500 0.761
Ni 0.500 0.000 0.239
Ge 0.000 0.000 0.500

The calculation puts the density at 4.40 Mg/m³. Its electronic total energy is -3.86 eV/atom.

(2)
# Li2Mg2Ni2SnGe

A relaxed Li2Mg2Ni2SnGe crystal (PBE, OQMD).

a = 4.346 Å, b = 4.346 Å, c = 6.199 Å
α = 90.00°, β = 90.00°, γ = 90.00°
Positions (direct):
Li 0.000 0.500 0.232
Li 0.500 0.000 0.768
Mg 0.000 0.000 0.000
Mg 0.500 0.500 0.500
Ni 0.000 0.500 0.764
Ni 0.500 0.000 0.236
Sn 0.000 0.000 0.500
Ge 0.500 0.500 0.000

The calculation puts the density at 5.27 Mg/m³. Its electronic total energy is -3.68 eV/atom.

(3)
# Li4MgGePd2

A relaxed Li4MgGePd2 crystal (PBE, OQMD).

a = 4.396 Å, b = 4.396 Å, c = 6.119 Å
α = 90.00°, β = 90.00°, γ = 90.00°
Positions (direct):
Li 0.000 0.000 0.000
Li 0.000 0.500 0.735
Li 0.500 0.000 0.265
Li 0.500 0.500 0.500
Mg 0.500 0.500 0.000
Ge 0.000 0.000 0.500
Pd 0.000 0.500 0.272
Pd 0.500 0.000 0.728

The calculation puts the density at 4.74 Mg/m³. Its electronic total energy is -3.50 eV/atom.

(4)
# Li2Mg2Ge2PdPt

A relaxed Li2Mg2Ge2PdPt crystal (PBE, OQMD).

a = 4.425 Å, b = 4.425 Å, c = 6.239 Å
α = 90.00°, β = 90.00°, γ = 90.00°
Positions (direct):
Li 0.000 0.000 0.000
Li 0.500 0.500 0.500
Mg 0.000 0.500 0.249
Mg 0.500 0.000 0.751
Ge 0.000 0.500 0.751
Ge 0.500 0.000 0.249
Pd 0.000 0.000 0.500
Pt 0.500 0.500 0.000

The calculation puts the density at 6.92 Mg/m³. Its electronic total energy is -4.00 eV/atom.

(5)
# Li2Mg2SiGePd2

A relaxed Li2Mg2SiGePd2 crystal (PBE, OQMD).

a = 4.381 Å, b = 4.381 Å, c = 6.195 Å
α = 90.00°, β = 90.00°, γ = 90.00°
Positions (direct):
Li 0.000 0.500 0.247
Li 0.500 0.000 0.753
Mg 0.000 0.000 0.000
Mg 0.500 0.500 0.500
Si 0.500 0.500 0.000
Ge 0.000 0.000 0.500
Pd 0.000 0.500 0.761
Pd 0.500 0.000 0.239

The calculation puts the density at 5.25 Mg/m³. Its electronic total energy is -3.94 eV/atom.

(6)
# Li2Mg2SnGePd2

A relaxed Li2Mg2SnGePd2 crystal (PBE, OQMD).

a = 4.498 Å, b = 4.498 Å, c = 6.420 Å
α = 90.00°, β = 90.00°, γ = 90.00°
Positions (direct):
Li 0.000 0.500 0.232
Li 0.500 0.000 0.768
Mg 0.000 0.000 0.000
Mg 0.500 0.500 0.500
Sn 0.000 0.000 0.500
Ge 0.500 0.500 0.000
Pd 0.000 0.500 0.763
Pd 0.500 0.000 0.237

The calculation puts the density at 5.97 Mg/m³. Its electronic total energy is -3.80 eV/atom.